The following is a DFT calculation (PBE with a Hubbard U) of a relaxed structure of NaNp2CrO8.

Values from the calculation:
crystal system	orthorhombic
spin magnetization	5.00	μB per formula unit
calculated volume	13.13	Å³ per atom
E	-103.61	eV/cell
space-group type	Cmmm

abc: 4.7814 4.7814 6.8949
angles: 90.00 90.00 92.11
Closest atoms and distances in Å follow each position.
Fractional positions:
Na 0.0000 0.0000 0.0000  6 O 2.23-2.36
Np 0.5000 0.5000 0.2525  6 O 1.96-2.20
Np 0.5000 0.5000 0.7475  6 O 1.96-2.20
Cr 0.0000 0.0000 0.5000  6 O 2.05-2.06
O 0.2056 0.2056 0.2786  1 Np 1.96, 1 Cr 2.05
O 0.2056 0.2056 0.7214  1 Np 1.96, 1 Cr 2.05
O 0.2994 0.7006 0.5000  1 Cr 2.06, 2 Np 2.20
O 0.3233 0.6767 0.0000  2 Np 2.12, 1 Na 2.23
O 0.6767 0.3233 0.0000  2 Np 2.12, 1 Na 2.23
O 0.7006 0.2994 0.5000  1 Cr 2.06, 2 Np 2.20
O 0.7944 0.7944 0.2786  1 Np 1.96, 1 Cr 2.05
O 0.7944 0.7944 0.7214  1 Np 1.96, 1 Cr 2.05